Version one
DFT (PBE) results for crystalline TlSiSb2Te at its relaxed geometry.

Cell: 5.637 5.637 5.746 Å, 90.00 90.00 90.00°
Space group P4/mmm (No. 123)
Inequivalent atoms, fractional coordinates:
1 Tl 0.000 0.000 0.000 (multiplicity 1)
2 Si 0.500 0.500 0.500 (multiplicity 1)
3 Sb 0.000 0.500 0.000 (multiplicity 2)
4 Te 0.000 0.000 0.500 (multiplicity 1)

Properties
volume: 36.5 Å³ per atom
mass density: 5.5 g/cm³

***

Version two
DFT (PBE) results for crystalline TlSiSb2Te at its relaxed geometry.

Cell: 5.315 5.315 5.417 Å, 90.00 90.00 90.00°
Space group P4/mmm (No. 123)
Inequivalent atoms, fractional coordinates:
1 Tl 0.000 0.000 0.000 (multiplicity 1)
2 Si 0.500 0.500 0.500 (multiplicity 1)
3 Sb 0.000 0.500 0.500 (multiplicity 2)
4 Te 0.500 0.500 0.000 (multiplicity 1)

Properties
volume: 30.6 Å³ per atom
mass density: 6.6 g/cm³

***

Most stable one: version two, least stable one: version one.

***

Version one
DFT (PBE) results for crystalline TlSiSbTe2 at its relaxed geometry.

Cell: 5.726 5.726 5.642 Å, 90.00 90.00 90.00°
Space group P4/mmm (No. 123)
Inequivalent atoms, fractional coordinates:
1 Tl 0.000 0.000 0.000 (multiplicity 1)
2 Si 0.500 0.500 0.500 (multiplicity 1)
3 Sb 0.000 0.000 0.500 (multiplicity 1)
4 Te 0.000 0.500 0.000 (multiplicity 2)

Properties
volume: 37.0 Å³ per atom
mass density: 5.5 g/cm³

***

Version two
DFT (PBE) results for crystalline TlSiSbTe2 at its relaxed geometry.

Cell: 5.413 5.413 5.303 Å, 90.00 90.00 90.00°
Space group P4/mmm (No. 123)
Inequivalent atoms, fractional coordinates:
1 Tl 0.000 0.000 0.000 (multiplicity 1)
2 Si 0.500 0.500 0.500 (multiplicity 1)
3 Sb 0.500 0.500 0.000 (multiplicity 1)
4 Te 0.000 0.500 0.500 (multiplicity 2)

Properties
volume: 31.1 Å³ per atom
mass density: 6.5 g/cm³

***

Most stable one: version two, least stable one: version one.

***

Version one
DFT (PBE) results for crystalline VSiSb2Te at its relaxed geometry.

Cell: 5.132 5.132 5.167 Å, 90.00 90.00 90.00°
Space group P4/mmm (No. 123)
Inequivalent atoms, fractional coordinates:
1 V 0.000 0.000 0.000 (multiplicity 1)
2 Si 0.500 0.500 0.500 (multiplicity 1)
3 Sb 0.000 0.500 0.000 (multiplicity 2)
4 Te 0.000 0.000 0.500 (multiplicity 1)

Properties
volume: 27.2 Å³ per atom
mass density: 5.5 g/cm³

***

Version two
DFT (PBE) results for crystalline VSiSb2Te at its relaxed geometry.

Cell: 5.133 5.133 5.166 Å, 90.00 90.00 90.00°
Space group P4/mmm (No. 123)
Inequivalent atoms, fractional coordinates:
1 V 0.000 0.000 0.000 (multiplicity 1)
2 Si 0.500 0.500 0.500 (multiplicity 1)
3 Sb 0.000 0.500 0.500 (multiplicity 2)
4 Te 0.500 0.500 0.000 (multiplicity 1)

Properties
volume: 27.2 Å³ per atom
mass density: 5.5 g/cm³

***

Most stable one: version one, least stable one: version two.

***

Version one
DFT (PBE) results for crystalline YSiSbTe2 at its relaxed geometry.

Cell: 5.764 5.764 5.833 Å, 90.00 90.00 90.00°
Space group P4/mmm (No. 123)
Inequivalent atoms, fractional coordinates:
1 Y 0.000 0.000 0.000 (multiplicity 1)
2 Si 0.500 0.500 0.500 (multiplicity 1)
3 Sb 0.000 0.000 0.500 (multiplicity 1)
4 Te 0.000 0.500 0.000 (multiplicity 2)

Properties
volume: 38.8 Å³ per atom
mass density: 4.2 g/cm³

***

Version two
DFT (PBE) results for crystalline YSiSbTe2 at its relaxed geometry.

Cell: 5.272 5.272 5.212 Å, 90.00 90.00 90.00°
Space group P4/mmm (No. 123)
Inequivalent atoms, fractional coordinates:
1 Y 0.000 0.000 0.000 (multiplicity 1)
2 Si 0.500 0.500 0.500 (multiplicity 1)
3 Sb 0.500 0.500 0.000 (multiplicity 1)
4 Te 0.000 0.500 0.500 (multiplicity 2)

Properties
volume: 29.0 Å³ per atom
mass density: 5.7 g/cm³

***

Most stable one: version two, least stable one: version one.